[1]
Entry from the Alexandria database: an optimized crystal structure of Ce2BSe (PBE-GGA).

## Properties
The density of states at the Fermi level comes out at 1.430 states/eV/atom. The calculation puts the energy relative to the elements, uncorrected at -0.837 eV per atom. The value obtained for the total magnetic moment is 0.091 μB per atom. As for the total energy: -6.345 eV/atom.

Cell and atoms, written as CIF:
```
data_Ce2BSe
_chemical_formula_sum 'Ce6 B3 Se3'
_cell_length_a 4.0013
_cell_length_b 4.0013
_cell_length_c 19.9746
_cell_angle_alpha 90.00
_cell_angle_beta 90.00
_cell_angle_gamma 120.00
_space_group_name_H-M_alt 'R -3 m'
_space_group_IT_number 166
_space_group_name_Hall '-R 3 2"'
loop_
_atom_site_label
_atom_site_type_symbol
_atom_site_fract_x
_atom_site_fract_y
_atom_site_fract_z
Ce1 Ce 0.0000 0.0000 0.2383
B1 B 0.0000 0.0000 0.5000
Se1 Se 0.0000 0.0000 0.0000
```



[2]
Entry from the Alexandria database: an optimized crystal structure of Ce3Si3B8 (PBE-GGA).

## Properties
The density of states at the Fermi level comes out at 0.848 states/eV/atom. The calculation puts the energy relative to the elements, uncorrected at -0.062 eV per atom. The value obtained for the total magnetic moment is 0.063 μB per atom. As for the total energy: -6.311 eV/atom.

Cell and atoms, written as CIF:
```
data_Ce3Si3B8
_chemical_formula_sum 'Ce6 Si6 B16'
_cell_length_a 3.1432
_cell_length_b 8.8148
_cell_length_c 12.9189
_cell_angle_alpha 90.00
_cell_angle_beta 90.00
_cell_angle_gamma 90.00
_space_group_name_H-M_alt 'I m m m'
_space_group_IT_number 71
_space_group_name_Hall '-I 2 2'
loop_
_atom_site_label
_atom_site_type_symbol
_atom_site_fract_x
_atom_site_fract_y
_atom_site_fract_z
Ce1 Ce 0.0000 0.0000 0.0000
Ce2 Ce 0.0000 0.0000 0.2837
Si1 Si 0.0000 0.2125 0.5000
Si2 Si 0.0000 0.5000 0.0000
B1 B 0.0000 0.2495 0.1361
B2 B 0.0000 0.3152 0.3593
```



[3]
Entry from the Alexandria database: an optimized crystal structure of Ce2Si3B (PBE-GGA).

## Properties
The density of states at the Fermi level comes out at 1.010 states/eV/atom. The calculation puts the energy relative to the elements, uncorrected at -0.610 eV per atom. The value obtained for the total magnetic moment is 0.000 μB per atom. As for the total energy: -6.412 eV/atom.

Cell and atoms, written as CIF:
```
data_Ce2Si3B
_chemical_formula_sum 'Ce2 Si3 B1'
_cell_length_a 3.7599
_cell_length_b 4.2808
_cell_length_c 6.6525
_cell_angle_alpha 90.00
_cell_angle_beta 90.00
_cell_angle_gamma 90.00
_space_group_name_H-M_alt 'P m m 2'
_space_group_IT_number 25
_space_group_name_Hall 'P 2 -2'
loop_
_atom_site_label
_atom_site_type_symbol
_atom_site_fract_x
_atom_site_fract_y
_atom_site_fract_z
Ce1 Ce 0.0000 0.0000 0.0000
Ce2 Ce 0.5000 0.0000 0.4901
Si1 Si 0.0000 0.5000 0.3045
Si2 Si 0.0000 0.5000 0.6589
Si3 Si 0.5000 0.5000 0.8620
B1 B 0.5000 0.5000 0.1692
```